PmDy5Er2, optimized geometry, DFT PBE; formation energy = 7 kJ/mol of formula units; SG = P-1; N(E_F) = 28.4 states/eV per cell; ρ = 8.38 g/cm³; calculated total energy = -73.63 eV per cell
1.0
6.7035 0.0000 0.0000
1.8297 8.2380 0.0000
0.9790 2.1647 9.2704
Pm Dy Er
2 10 4
direct
0.1141 0.1353 0.1775 Pm
0.8859 0.8647 0.8225 Pm
0.0093 0.7391 0.1990 Dy
0.1372 0.6142 0.5719 Dy
0.2615 0.4898 0.9475 Dy
0.3856 0.3650 0.3230 Dy
0.4888 0.7614 0.3030 Dy
0.5112 0.2386 0.6970 Dy
0.6144 0.6350 0.6770 Dy
0.7385 0.5102 0.0525 Dy
0.8628 0.3858 0.4281 Dy
0.9907 0.2609 0.8010 Dy
0.2409 0.0108 0.5520 Er
0.3660 0.8849 0.9271 Er
0.6340 0.1151 0.0729 Er
0.7591 0.9892 0.4480 Er

Sm5Dy12Y2, optimized geometry, DFT PBE; formation energy = 232 kJ/mol of formula units; SG = C2/m; N(E_F) = 25.5 states/eV per cell; ρ = 7.64 g/cm³; calculated total energy = -89.34 eV per cell
1.0
7.8065 -4.6376 0.0000
7.8065 4.6376 0.0000
-0.3073 0.0000 8.6386
Sm Dy Y
5 12 2
direct
0.0000 0.0000 0.0000 Sm
0.2305 0.2305 0.0710 Sm
0.2928 0.2928 0.4782 Sm
0.7072 0.7072 0.5218 Sm
0.7695 0.7695 0.9290 Sm
0.0308 0.6721 0.2596 Dy
0.0743 0.0743 0.3750 Dy
0.1794 0.5614 0.8300 Dy
0.3279 0.9692 0.7404 Dy
0.4386 0.8206 0.1700 Dy
0.4427 0.4427 0.1621 Dy
0.5573 0.5573 0.8379 Dy
0.5614 0.1794 0.8300 Dy
0.6721 0.0308 0.2596 Dy
0.8206 0.4386 0.1700 Dy
0.9257 0.9257 0.6250 Dy
0.9692 0.3279 0.7404 Dy
0.3267 0.6733 0.5000 Y
0.6733 0.3267 0.5000 Y